# CeGd2Er

An optimized crystal structure of CeGd2Er (PBE, Alexandria via LeMat-Bulk).

Cell lengths 3.5247, 3.5247, 34.6926 Å; angles 90.00, 90.00, 120.00 degrees
Space group R-3m (No. 166, hexagonal axes)
Inequivalent atoms, fractional coordinates:
Ce 0.0000 0.0000 0.0000 [3 per cell]
Gd 0.0000 0.0000 0.2509 [6 per cell]
Er 0.0000 0.0000 0.5000 [3 per cell]

Its total energy is -9.60 eV per atom. As for the mass density: 8.299 g/cm3. The value obtained for the total magnetic moment is 13.8 μB/f.u.